# Te2HIr2, relaxed, DFT GGA-PBEsol
data_Te2HIr2
_chemical_formula_sum 'Te4 H2 Ir4'
_cell_length_a 7.604
_cell_length_b 7.604
_cell_length_c 3.161
_cell_angle_alpha 90.00
_cell_angle_beta 90.00
_cell_angle_gamma 90.00
_space_group_name_H-M_alt 'P 1'
_space_group_IT_number 1
loop_
_space_group_symop_operation_xyz
'x,y,z'
loop_
_atom_site_label
_atom_site_type_symbol
_atom_site_fract_x
_atom_site_fract_y
_atom_site_fract_z
Te1 Te 0.166 0.334 0.000
Te2 Te 0.334 0.834 0.000
Te3 Te 0.666 0.166 0.000
Te4 Te 0.834 0.666 0.000
H1 H 0.000 0.000 0.500
H2 H 0.500 0.500 0.500
Ir1 Ir 0.129 0.629 0.500
Ir2 Ir 0.371 0.129 0.500
Ir3 Ir 0.629 0.871 0.500
Ir4 Ir 0.871 0.371 0.500
# DOS at the Fermi energy (states/eV/atom): 0.6734
# E above lowest polymorph (meV/atom): 481
# Symmetry: P4/mbm, No. 127